1.
PrMgTl6: relaxed, GGA-PBE.

Properties
energy of formation from the pure elements	-0.100	eV/atom
volume	227.5	Å³/cell
DOS(E_F)	5.020	states/eV/f.u.

a b c (Å): 4.794 6.904 6.904
angles (deg): 84.57 90.00 90.00
Fractional coordinates of all 8 atoms:
Pr 0.500 0.000 0.000
Mg 0.500 0.500 0.500
Tl 0.000 0.728 0.272
Tl 0.000 0.272 0.728
Tl 0.000 0.760 0.760
Tl 0.000 0.240 0.240
Tl 0.500 0.500 0.000
Tl 0.500 0.000 0.500

***

2.
Er8CoSn2: relaxed, GGA-PBE.

Properties
energy of formation from the pure elements	-0.312	eV/atom
volume	295.0	Å³/cell
DOS(E_F)	9.576	states/eV/f.u.

a b c (Å): 4.896 6.610 9.714
angles (deg): 103.71 104.60 90.00
Fractional coordinates of all 11 atoms:
Er 0.410 0.534 0.821
Er 0.640 0.003 0.281
Er 0.783 0.679 0.566
Er 0.984 0.216 0.967
Er 0.217 0.321 0.434
Er 0.360 0.997 0.719
Er 0.590 0.466 0.179
Er 0.016 0.784 0.033
Co 0.500 0.000 0.000
Sn 0.818 0.238 0.635
Sn 0.182 0.762 0.365

***

3.
Pm5In: relaxed, GGA-PBE.

Properties
energy of formation from the pure elements	-0.090	eV/atom
volume	190.5	Å³/cell
DOS(E_F)	7.279	states/eV/f.u.

a b c (Å): 5.868 5.805 6.302
angles (deg): 117.43 90.00 90.00
Fractional coordinates of all 6 atoms:
Pm 0.500 0.657 0.315
Pm 0.000 0.842 0.684
Pm 0.500 0.000 0.000
Pm 0.000 0.158 0.316
Pm 0.500 0.343 0.685
In 0.000 0.500 0.000

***

4.
BaInTe: relaxed, GGA-PBE.

Properties
formation energy (no corrections)	-0.78	eV per atom
volume	112.3	Å³/cell
DOS(E_F)	1.673	states/eV/f.u.

a b c (Å): 5.400 5.400 4.448
angles (deg): 90.00 90.00 120.00
Fractional coordinates of all 3 atoms:
Ba 0.000 0.000 0.000
In 0.667 0.333 0.501
Te 0.333 0.667 0.499

***

5.
Y2Au2Se: relaxed, GGA-PBE.

Properties
formation energy (no corrections)	-0.84	eV per atom
volume	120.0	Å³/cell
DOS(E_F)	3.665	states/eV/f.u.

a b c (Å): 8.671 8.671 8.671
angles (deg): 154.58 154.58 36.26
Fractional coordinates of all 5 atoms:
Y 0.607 0.607 0.000
Y 0.393 0.393 0.000
Au 0.250 0.750 0.500
Au 0.750 0.250 0.500
Se 0.000 0.000 0.000

***

6.
V4CrTc2: relaxed, GGA-PBE.

Properties
energy of formation from the pure elements	0.825	eV/atom
volume	110.1	Å³/cell
DOS(E_F)	9.527	states/eV/f.u.

a b c (Å): 4.227 4.227 6.850
angles (deg): 72.03 72.03 90.00
Fractional coordinates of all 7 atoms:
Cr 0.000 0.000 0.000
Tc 0.373 0.373 0.255
Tc 0.627 0.627 0.745
V 0.190 0.190 0.620
V 0.810 0.810 0.380
V 0.000 0.500 0.000
V 0.500 0.000 0.000